1.
A relaxed structure of SmZn. Source: OQMD, functional GGA-PBE.

Calculated density = 7.4 g/cm3
Symmetry = Amm2
Raw total energy = -3.0891 eV/atom
Crystal system = orthorhombic
Energy of formation = -0.101 eV per atom

Cell lengths 5.6803, 8.4974, 5.3111 Å; angles 90.00, 90.00, 70.50 degrees
Fractional positions:
Zn1 0.0547 0.2111 0.5000
Zn2 0.0054 0.9991 0.0000
Zn3 0.6664 0.9888 0.5000
Zn4 0.8493 0.6001 0.5000
Zn5 0.4042 0.2008 0.0000
Sm1 0.8499 0.3746 0.0000
Sm2 0.6246 0.8254 0.0000
Sm3 0.4611 0.3630 0.5000
Sm4 0.2244 0.8370 0.5000
Sm5 0.1933 0.6000 0.0000



2.
A relaxed structure of SmZn. Source: OQMD, functional GGA-PBE.

Calculated density = 6.5 g/cm3
Symmetry = Fm-3m
Raw total energy = -3.0162 eV/atom
Crystal system = cubic
Energy of formation = -0.028 eV per atom

Cell lengths 4.2721, 4.2721, 4.2721 Å; angles 60.00, 60.00, 60.00 degrees
Fractional positions:
Zn1 0.5000 0.5000 0.5000
Sm1 0.0000 0.0000 0.0000



3.
A relaxed structure of SmZn. Source: OQMD, functional GGA-PBE.

Calculated density = 7.3 g/cm3
Symmetry = Pmc2_1
Raw total energy = -3.1785 eV/atom
Crystal system = orthorhombic
Energy of formation = -0.191 eV per atom

Cell lengths 5.9721, 11.0314, 4.4829 Å; angles 90.00, 90.00, 90.00 degrees
Fractional positions:
Sm1 0.0109 0.9226 0.0000
Sm2 0.4949 0.9936 0.5000
Sm3 0.5109 0.2440 0.0000
Sm4 0.7668 0.4801 0.5000
Sm5 0.9949 0.1731 0.5000
Sm6 0.2668 0.6866 0.5000
Zn1 0.2869 0.3960 0.5000
Zn2 0.4060 0.5195 0.0000
Zn3 0.0346 0.3759 0.0000
Zn4 0.7868 0.7706 0.5000
Zn5 0.9059 0.6472 0.0000
Zn6 0.5346 0.7908 0.0000



4.
A relaxed structure of SmZn. Source: OQMD, functional GGA-PBE.

Calculated density = 7.6 g/cm3
Symmetry = Pmm2
Raw total energy = -3.0622 eV/atom
Crystal system = orthorhombic
Energy of formation = -0.074 eV per atom

Cell lengths 5.2987, 7.5654, 4.7141 Å; angles 90.00, 90.00, 90.00 degrees
Fractional positions:
Sm1 0.8692 0.2989 0.5000
Sm2 0.8942 0.0000 0.0000
Sm3 0.3879 0.0000 0.5000
Sm4 0.8692 0.7011 0.5000
Zn1 0.4355 0.2719 0.0000
Zn2 0.3714 0.5000 0.5000
Zn3 0.0704 0.5000 0.0000
Zn4 0.4355 0.7281 0.0000



Which formula does entry 3 have? SmZn



Among the records above, which one has the lowest energy of formation? number 3